## one
The following is a PBE-GGA calculation of a relaxed structure of DyHoEr4, from the Alexandria database.

Symmetry: No. 216
Total magnetic moment in μB per formula unit: 0.73

The structure in POSCAR format:
```
DyHoEr4
1.0
0.000 4.589 4.589
4.589 0.000 4.589
4.589 4.589 0.000
Dy Ho Er
1 1 4
Cartesian
0.000 0.000 0.000
6.884 6.884 6.884
3.442 3.442 3.442
5.737 5.737 3.442
5.737 3.442 5.737
3.442 5.737 5.737
```

## two
The following is a PBE-GGA calculation of a relaxed structure of DyHoEr4, from the Alexandria database.

Symmetry: No. 15
Total magnetic moment in μB per formula unit: 0.00

The structure in POSCAR format:
```
DyHoEr4
1.0
4.350 -7.256 0.000
4.350 7.256 0.000
-2.251 0.000 5.959
Dy Ho Er
2 2 8
Cartesian
2.661 6.003 4.469
3.787 -6.003 1.490
2.661 0.020 4.469
3.787 -0.020 1.490
-0.212 1.855 5.239
2.498 2.848 2.759
0.913 -1.855 2.259
5.076 2.848 0.220
1.372 -2.848 5.739
5.535 1.855 3.700
3.950 -2.848 3.200
6.660 -1.855 0.720
```

## three
The following is a PBE-GGA calculation of a relaxed structure of DyHoEr4, from the Alexandria database.

Symmetry: No. 47
Total magnetic moment in μB per formula unit: 0.00

The structure in POSCAR format:
```
DyHoEr4
1.0
3.454 0.000 0.000
0.000 5.537 0.000
0.000 0.000 9.578
Dy Ho Er
1 1 4
Cartesian
0.000 0.000 0.000
0.000 2.768 4.789
1.727 0.000 3.197
1.727 0.000 6.381
1.727 2.768 1.600
1.727 2.768 7.978
```

three is the most stable structure; the next one sits 77 meV per atom above it.